Record 1
VASP calculation (PBE) on a relaxed Cs2In3AgPb4 crystal.

a b c (Å): 5.296 5.296 12.581
angles (deg): 90.00 90.00 90.00
Fractional positions:
Pb 0.000 0.000 0.000
In 0.000 0.000 0.500
In 0.500 0.000 0.864
Cs 0.500 0.000 0.256
Pb 0.500 0.000 0.622
In 0.000 0.500 0.136
Ag 0.500 0.500 0.500
Pb 0.500 0.500 0.000
Pb 0.000 0.500 0.378
Cs 0.000 0.500 0.744

Calculated values
Its total magnetization is 0.000 μB per atom. The calculation puts the volume at 352.89 Å³/cell. The formation energy is -0.077 eV per atom. As for the energy: -2.84 eV/atom.

Record 2
VASP calculation (PBE) on a relaxed TmMnAl2 crystal.

a b c (Å): 3.189 3.189 7.002
angles (deg): 90.00 90.00 90.00
Fractional positions:
Al 0.000 0.000 0.197
Mn 0.500 0.500 0.000
Tm 0.500 0.500 0.500
Al 0.000 0.000 0.803

Calculated values
Its total magnetization is 0.772 μB per atom. The calculation puts the volume at 71.22 Å³/cell. The formation energy is -0.225 eV per atom. As for the energy: -5.51 eV/atom.

Record 3
VASP calculation (PBE) on a relaxed NdSmCuIr crystal.

a b c (Å): 3.963 4.400 5.687
angles (deg): 90.00 110.39 90.00
Fractional positions:
Cu 0.572 0.500 0.145
Nd 0.141 0.000 0.281
Ir 0.424 0.000 0.847
Sm 0.863 0.500 0.727

Calculated values
Its total magnetization is 0.000 μB per atom. The calculation puts the volume at 92.94 Å³/cell. The formation energy is -0.482 eV per atom. As for the energy: -6.09 eV/atom. The value obtained for the energy relative to the lowest polymorph listed for this composition is 0.00 eV/f.u.

Record 4
VASP calculation (PBE) on a relaxed NbP2SF crystal.

a b c (Å): 4.826 4.826 4.678
angles (deg): 90.00 90.00 90.00
Fractional positions:
P 0.000 0.500 0.000
F 0.500 0.500 0.500
P 0.500 0.000 0.000
Nb 0.000 0.000 0.000
S 0.000 0.000 0.500

Calculated values
For the formation energy without anion corrections, the calculation gives 0.0622 eV per atom. Its total magnetization is 0.002 μB per atom. The calculation puts the volume at 108.94 Å³/cell. As for the energy: -5.32 eV/atom. The value obtained for the energy relative to the lowest polymorph listed for this composition is 0.00 eV/f.u.

Record 5
VASP calculation (PBE) on a relaxed CsAlSe3 crystal.

a b c (Å): 6.847 7.919 7.919
angles (deg): 116.07 101.82 101.82
Fractional positions:
Al 0.923 0.727 0.769
Se 0.448 0.933 0.078
Cs 0.028 0.123 0.453
Al 0.423 0.769 0.727
Se 0.132 0.693 0.031
Se 0.948 0.078 0.933
Se 0.632 0.031 0.693
Cs 0.528 0.453 0.123
Se 0.068 0.646 0.504
Se 0.568 0.504 0.646

Calculated values
For the formation energy without anion corrections, the calculation gives -0.9408 eV per atom. Its total magnetization is 0.000 μB per atom. The calculation puts the volume at 355.61 Å³/cell. As for the energy: -3.95 eV/atom. The value obtained for the energy relative to the lowest polymorph listed for this composition is 0.00 eV/f.u.

Record 6
VASP calculation (PBE) on a relaxed NaIn2Pb crystal.

a b c (Å): 7.290 7.290 7.290
angles (deg): 53.47 134.10 154.07
Fractional positions:
In 0.000 0.262 0.262
Pb 0.000 0.500 0.500
Na 0.000 0.000 0.000
In 0.000 0.738 0.738

Calculated values
Its total magnetization is 0.000 μB per atom. The calculation puts the volume at 121.06 Å³/cell. The formation energy is 0.041 eV per atom. As for the energy: -2.58 eV/atom.

Record 7
VASP calculation (PBE) on a relaxed SrMn4Ir crystal.

a b c (Å): 5.058 5.058 5.058
angles (deg): 60.00 60.00 60.00
Fractional positions:
Mn 0.373 0.373 0.881
Ir 0.000 0.000 0.000
Mn 0.373 0.881 0.373
Mn 0.881 0.373 0.373
Sr 0.750 0.750 0.750
Mn 0.373 0.373 0.373

Calculated values
Its total magnetization is 1.492 μB per atom. The calculation puts the volume at 91.51 Å³/cell. The formation energy is 0.598 eV per atom. As for the energy: -7.27 eV/atom.

Record 8
VASP calculation (PBE) on a relaxed Sr2DyMnS5 crystal.

a b c (Å): 4.012 9.013 12.342
angles (deg): 90.00 90.00 102.86
Fractional positions:
S 0.038 0.076 0.018
S 0.701 0.401 0.177
Mn 0.445 0.890 0.429
S 0.500 0.001 0.267
S 0.318 0.637 0.373
S 0.682 0.363 0.873
S 0.351 0.701 0.010
Sr 0.120 0.240 0.686
S 0.649 0.299 0.510
Mn 0.555 0.110 0.929
S 0.962 0.924 0.518
Sr 0.877 0.754 0.833
S 0.299 0.599 0.677
Dy 0.799 0.597 0.530
Sr 0.880 0.760 0.186
S 0.500 0.999 0.767
Sr 0.123 0.246 0.333
Dy 0.201 0.403 0.030

Calculated values
For the formation energy without anion corrections, the calculation gives -1.6581 eV per atom. Its total magnetization is 0.444 μB per atom. The calculation puts the volume at 435.02 Å³/cell. As for the energy: -5.86 eV/atom.

Record 9
VASP calculation (PBE) on a relaxed Mg2CuIr crystal.

a b c (Å): 3.173 3.172 6.129
angles (deg): 90.00 90.00 90.00
Fractional positions:
Mg 0.000 0.000 0.992
Ir 0.500 0.500 0.750
Mg 0.000 0.000 0.508
Cu 0.500 0.500 0.250

Calculated values
Its total magnetization is 0.000 μB per atom. The calculation puts the volume at 61.68 Å³/cell. The formation energy is -0.236 eV per atom. As for the energy: -4.27 eV/atom.

Record 10
VASP calculation (PBE) on a relaxed PmGeI2 crystal.

a b c (Å): 3.941 3.941 10.722
angles (deg): 79.41 79.41 60.00
Fractional positions:
I 0.098 0.098 0.706
Ge 0.500 0.500 0.500
Pm 0.000 0.000 0.000
I 0.902 0.902 0.294

Calculated values
For the formation energy without anion corrections, the calculation gives -0.0246 eV per atom. Its total magnetization is 0.000 μB per atom. The calculation puts the volume at 140.90 Å³/cell. As for the energy: -3.14 eV/atom.

Record 11
VASP calculation (PBE) on a relaxed Co2RhBr crystal.

a b c (Å): 5.954 4.572 2.968
angles (deg): 90.14 59.85 119.21
Fractional positions:
Co 0.000 0.000 0.000
Rh 0.000 0.500 0.500
Br 0.500 0.500 0.000
Co 0.500 0.000 0.500

Calculated values
For the formation energy without anion corrections, the calculation gives 0.6787 eV per atom. Its total magnetization is 1.113 μB per atom. The calculation puts the volume at 57.75 Å³/cell. As for the energy: -5.13 eV/atom. The value obtained for the energy relative to the lowest polymorph listed for this composition is 1.02 eV/f.u.

Record 12
VASP calculation (PBE) on a relaxed MgTl3Cu2Cl9 crystal.

a b c (Å): 6.970 6.970 8.563
angles (deg): 90.00 90.00 120.00
Fractional positions:
Cl 0.000 0.500 0.000
Cl 0.831 0.662 0.672
Cl 0.169 0.831 0.328
Cl 0.169 0.338 0.328
Mg 0.000 0.000 0.500
Cl 0.831 0.169 0.672
Cu 0.667 0.333 0.841
Tl 0.333 0.667 0.661
Cu 0.333 0.667 0.159
Tl 0.000 0.000 0.000
Tl 0.667 0.333 0.339
Cl 0.500 0.500 0.000
Cl 0.500 0.000 0.000
Cl 0.338 0.169 0.672
Cl 0.662 0.831 0.328

Calculated values
For the formation energy without anion corrections, the calculation gives -0.9337 eV per atom. Its total magnetization is 0.000 μB per atom. The calculation puts the volume at 360.20 Å³/cell. As for the energy: -3.17 eV/atom.

Please write out number 8 again, unchanged.
VASP calculation (PBE) on a relaxed Sr2DyMnS5 crystal.

a b c (Å): 4.012 9.013 12.342
angles (deg): 90.00 90.00 102.86
Fractional positions:
S 0.038 0.076 0.018
S 0.701 0.401 0.177
Mn 0.445 0.890 0.429
S 0.500 0.001 0.267
S 0.318 0.637 0.373
S 0.682 0.363 0.873
S 0.351 0.701 0.010
Sr 0.120 0.240 0.686
S 0.649 0.299 0.510
Mn 0.555 0.110 0.929
S 0.962 0.924 0.518
Sr 0.877 0.754 0.833
S 0.299 0.599 0.677
Dy 0.799 0.597 0.530
Sr 0.880 0.760 0.186
S 0.500 0.999 0.767
Sr 0.123 0.246 0.333
Dy 0.201 0.403 0.030

Calculated values
For the formation energy without anion corrections, the calculation gives -1.6581 eV per atom. Its total magnetization is 0.444 μB per atom. The calculation puts the volume at 435.02 Å³/cell. As for the energy: -5.86 eV/atom.